DFT (PBE+U) results for BaNaMnO4 after structural relaxation.

Properties
Energy   -5.747 eV per atom
D(E_F)   0.0 states/eV/f.u.
M_tot   2.00 μB/f.u.
Calculated volume   160 Å³ per cell

a b c (Å): 6.0976 6.0976 6.0976
angles (deg): 60.00 60.00 60.00
Closest atoms and distances in Å follow each position.
Positions (direct):
Ba  0.7500  0.7500  0.7500  12 O 3.61, 4 Na 3.73
Na  0.5000  0.5000  0.5000  4 O 2.04
Mn  0.2500  0.2500  0.2500  4 O 1.70
O  0.3636  0.3636  0.9093  1 Mn 1.70
O  0.3636  0.3636  0.3636  1 Mn 1.70
O  0.3636  0.9093  0.3636  1 Mn 1.70
O  0.9093  0.3636  0.3636  1 Mn 1.70